AcAu3 | GGA-PBEsol | relaxed

**D(E_F)**: 0.535 states/eV/atom
**Symmetry**: No. 194
**Formation energy**: -0.644 eV/atom

a = 4.654 Å, b = 6.782 Å, c = 6.782 Å
α = 120.00°, β = 90.00°, γ = 90.00°
Element x y z (fractional)
Ac 0.750 0.333 0.667
Ac 0.250 0.667 0.333
Au 0.250 0.710 0.855
Au 0.250 0.145 0.290
Au 0.250 0.145 0.855
Au 0.750 0.290 0.145
Au 0.750 0.855 0.710
Au 0.750 0.855 0.145